(1)
# Sr2BrF2 (PBE, optimized geometry)
# Mass density (g/cm3): 3.98
# Formation energy from raw total energies (eV/atom): -2.83
# M_tot (Bohr magnetons per cell): 1.39
data_Sr2BrF2
_chemical_formula_sum 'Sr4 Br2 F4'
_cell_length_a 4.3900
_cell_length_b 4.3900
_cell_length_c 12.6816
_cell_angle_alpha 90.00
_cell_angle_beta 90.00
_cell_angle_gamma 90.00
_symmetry_space_group_name_H-M 'I 4/m m m'
_symmetry_Int_Tables_number 139
_symmetry_space_group_name_Hall '-I 4 2'
loop_
_atom_site_label
_atom_site_type_symbol
_atom_site_fract_x
_atom_site_fract_y
_atom_site_fract_z
Sr1 Sr 0.0000 0.0000 0.1505
Br1 Br 0.0000 0.0000 0.5000
F1 F 0.0000 0.5000 0.2500

(2)
# Nd5Y3Tm3 (PBE, optimized geometry)
# Energy of formation from the pure elements (eV/atom): 0.78
# Mass density (g/cm3): 5.39
# Energy relative to the lowest polymorph listed for this composition (eV/f.u.): 5.15
# M_tot (Bohr magnetons per cell): 0.00
data_Nd5Y3Tm3
_chemical_formula_sum 'Nd5 Y3 Tm3'
_cell_length_a 9.7420
_cell_length_b 9.7420
_cell_length_c 5.6044
_cell_angle_alpha 90.00
_cell_angle_beta 90.00
_cell_angle_gamma 120.00
_symmetry_space_group_name_H-M 'P -6 2 m'
_symmetry_Int_Tables_number 189
_symmetry_space_group_name_Hall 'P -6 -2'
loop_
_atom_site_label
_atom_site_type_symbol
_atom_site_fract_x
_atom_site_fract_y
_atom_site_fract_z
Nd1 Nd 0.0000 0.2672 0.0000
Nd2 Nd 0.3333 0.6667 0.0000
Y1 Y 0.0000 0.4618 0.5000
Tm1 Tm 0.0000 0.6324 0.0000

(3)
# UPaAs2N (PBE, optimized geometry)
# Mass density (g/cm3): 10.19
# Formation energy from raw total energies (eV/atom): -0.97
# M_tot (Bohr magnetons per cell): 1.41
data_UPaAs2N
_chemical_formula_sum 'U2 Pa2 As4 N2'
_cell_length_a 3.9469
_cell_length_b 3.9469
_cell_length_c 13.2450
_cell_angle_alpha 90.00
_cell_angle_beta 90.00
_cell_angle_gamma 90.00
_symmetry_space_group_name_H-M 'P 4/n m m'
_symmetry_Int_Tables_number 129
loop_
_symmetry_equiv_pos_as_xyz
'x,y,z'
'-x,-y,-z'
'-y+1/2,x,z'
'y+1/2,-x,-z'
'-x+1/2,-y+1/2,z'
'x+1/2,y+1/2,-z'
'y,-x+1/2,z'
'-y,x+1/2,-z'
'x+1/2,-y,-z'
'-x+1/2,y,z'
'-y,-x,-z'
'y,x,z'
'-x,y+1/2,-z'
'x,-y+1/2,z'
'y+1/2,x+1/2,-z'
'-y+1/2,-x+1/2,z'
loop_
_atom_site_label
_atom_site_type_symbol
_atom_site_fract_x
_atom_site_fract_y
_atom_site_fract_z
U1 U 0.2500 0.2500 0.0866
Pa1 Pa 0.2500 0.2500 0.6036
As1 As 0.2500 0.2500 0.3741
As2 As 0.2500 0.2500 0.8159
N1 N 0.2500 0.7500 0.0000

(4)
# SmTh3C3 (PBE, optimized geometry)
# Energy of formation from the pure elements (eV/atom): -0.16
# Mass density (g/cm3): 10.04
# Energy relative to the lowest polymorph listed for this composition (eV/f.u.): 0.47
# M_tot (Bohr magnetons per cell): 0.00
data_SmTh3C3
_chemical_formula_sum 'Sm1 Th3 C3'
_cell_length_a 5.2651
_cell_length_b 5.2651
_cell_length_c 5.2651
_cell_angle_alpha 90.00
_cell_angle_beta 90.00
_cell_angle_gamma 90.00
_symmetry_space_group_name_H-M 'P m -3 m'
_symmetry_Int_Tables_number 221
_symmetry_space_group_name_Hall '-P 4 2 3'
loop_
_atom_site_label
_atom_site_type_symbol
_atom_site_fract_x
_atom_site_fract_y
_atom_site_fract_z
Sm1 Sm 0.0000 0.0000 0.0000
Th1 Th 0.0000 0.5000 0.5000
C1 C 0.0000 0.0000 0.5000